Arrangement a

Computed, not measured: Bi2TeI2 after structural relaxation at the PBE level of DFT.

a = 9.757 Å, b = 6.586 Å, c = 13.929 Å
α = 90.00°, β = 90.00°, γ = 90.00°
Atoms (fractional coordinates):
1 Bi 0.113 0.250 0.236
2 Bi 0.123 0.250 0.563
3 Bi 0.377 0.750 0.063
4 Bi 0.387 0.750 0.736
5 Bi 0.613 0.250 0.264
6 Bi 0.623 0.250 0.937
7 Bi 0.877 0.750 0.437
8 Bi 0.887 0.750 0.764
9 Te 0.200 0.750 0.895
10 Te 0.300 0.250 0.395
11 Te 0.700 0.750 0.605
12 Te 0.800 0.250 0.105
13 I 0.113 0.750 0.215
14 I 0.146 0.750 0.579
15 I 0.354 0.250 0.079
16 I 0.387 0.250 0.715
17 I 0.613 0.750 0.285
18 I 0.646 0.750 0.921
19 I 0.854 0.250 0.421
20 I 0.887 0.250 0.785

Computed properties:
- Crystal system: orthorhombic
- Theoretical density: 5.9 g cm⁻³

---

Arrangement b

Computed, not measured: Bi2TeI2 after structural relaxation at the PBE level of DFT.

a = 8.169 Å, b = 8.169 Å, c = 5.239 Å
α = 90.00°, β = 90.00°, γ = 90.00°
Atoms (fractional coordinates):
1 Bi 0.144 0.356 0.000
2 Bi 0.356 0.856 0.000
3 Bi 0.644 0.144 0.000
4 Bi 0.856 0.644 0.000
5 Te 0.000 0.000 0.000
6 Te 0.500 0.500 0.000
7 I 0.168 0.668 0.500
8 I 0.332 0.168 0.500
9 I 0.668 0.832 0.500
10 I 0.832 0.332 0.500

Computed properties:
- Crystal system: tetragonal
- Theoretical density: 7.6 g cm⁻³

---

Arrangement c

Computed, not measured: Bi2TeI2 after structural relaxation at the PBE level of DFT.

a = 9.743 Å, b = 9.743 Å, c = 3.617 Å
α = 90.00°, β = 90.00°, γ = 90.00°
Atoms (fractional coordinates):
1 Bi 0.192 0.308 0.000
2 Bi 0.308 0.808 0.000
3 Bi 0.692 0.192 0.000
4 Bi 0.808 0.692 0.000
5 Te 0.000 0.000 0.500
6 Te 0.500 0.500 0.500
7 I 0.121 0.621 0.500
8 I 0.379 0.121 0.500
9 I 0.621 0.879 0.500
10 I 0.879 0.379 0.500

Computed properties:
- Crystal system: tetragonal
- Theoretical density: 7.7 g cm⁻³

---

Which is most stable? The ranking, best first, is arrangement a, arrangement b, arrangement c.

---

Arrangement a

Computed, not measured: BiTe3I after structural relaxation at the PBE level of DFT.

a = 5.944 Å, b = 5.944 Å, c = 5.944 Å
α = 90.00°, β = 90.00°, γ = 90.00°
Atoms (fractional coordinates):
1 Bi 0.000 0.000 0.000
2 Te 0.000 0.000 0.500
3 Te 0.000 0.500 0.000
4 Te 0.500 0.000 0.000
5 I 0.500 0.500 0.500

Computed properties:
- Crystal system: cubic
- Theoretical density: 5.7 g cm⁻³

---

Arrangement b

Computed, not measured: BiTe3I after structural relaxation at the PBE level of DFT.

a = 5.807 Å, b = 5.807 Å, c = 5.807 Å
α = 90.00°, β = 90.00°, γ = 90.00°
Atoms (fractional coordinates):
1 Bi 0.000 0.000 0.000
2 Te 0.000 0.500 0.500
3 Te 0.500 0.000 0.500
4 Te 0.500 0.500 0.000
5 I 0.500 0.500 0.500

Computed properties:
- Crystal system: cubic
- Theoretical density: 6.1 g cm⁻³

---

Which is most stable? The ranking, best first, is arrangement a, arrangement b.

---

Arrangement a

Computed, not measured: YBiTe2I after structural relaxation at the PBE level of DFT.

a = 5.945 Å, b = 5.945 Å, c = 5.755 Å
α = 90.00°, β = 90.00°, γ = 90.00°
Atoms (fractional coordinates):
1 Y 0.000 0.000 0.000
2 Bi 0.500 0.500 0.500
3 Te 0.000 0.500 0.000
4 Te 0.500 0.000 0.000
5 I 0.000 0.000 0.500

Computed properties:
- Crystal system: tetragonal
- Theoretical density: 5.6 g cm⁻³

---

Arrangement b

Computed, not measured: YBiTe2I after structural relaxation at the PBE level of DFT.

a = 5.933 Å, b = 5.933 Å, c = 5.834 Å
α = 90.00°, β = 90.00°, γ = 90.00°
Atoms (fractional coordinates):
1 Y 0.000 0.000 0.000
2 Bi 0.500 0.500 0.500
3 Te 0.000 0.500 0.500
4 Te 0.500 0.000 0.500
5 I 0.500 0.500 0.000

Computed properties:
- Crystal system: tetragonal
- Theoretical density: 5.5 g cm⁻³

---

Which is most stable? The ranking, best first, is arrangement a, arrangement b.

---

Arrangement a

Computed, not measured: ZnBiTeI2 after structural relaxation at the PBE level of DFT.

a = 6.152 Å, b = 6.152 Å, c = 6.084 Å
α = 90.00°, β = 90.00°, γ = 90.00°
Atoms (fractional coordinates):
1 Zn 0.000 0.000 0.000
2 Bi 0.500 0.500 0.500
3 Te 0.500 0.500 0.000
4 I 0.000 0.500 0.500
5 I 0.500 0.000 0.500

Computed properties:
- Crystal system: tetragonal
- Theoretical density: 4.7 g cm⁻³

---

Arrangement b

Computed, not measured: ZnBiTeI2 after structural relaxation at the PBE level of DFT.

a = 5.392 Å, b = 5.392 Å, c = 5.648 Å
α = 90.00°, β = 90.00°, γ = 90.00°
Atoms (fractional coordinates):
1 Zn 0.000 0.000 0.000
2 Bi 0.500 0.500 0.500
3 Te 0.000 0.000 0.500
4 I 0.000 0.500 0.000
5 I 0.500 0.000 0.000

Computed properties:
- Crystal system: tetragonal
- Theoretical density: 6.6 g cm⁻³

---

Which is most stable? The ranking, best first, is arrangement b, arrangement a.

---

Arrangement a

Computed, not measured: ZrBiTeI2 after structural relaxation at the PBE level of DFT.

a = 5.885 Å, b = 5.885 Å, c = 6.027 Å
α = 90.00°, β = 90.00°, γ = 90.00°
Atoms (fractional coordinates):
1 Zr 0.000 0.000 0.000
2 Bi 0.500 0.500 0.000
3 Te 0.500 0.500 0.500
4 I 0.000 0.500 0.500
5 I 0.500 0.000 0.500

Computed properties:
- Crystal system: tetragonal
- Theoretical density: 5.4 g cm⁻³

---

Arrangement b

Computed, not measured: ZrBiTeI2 after structural relaxation at the PBE level of DFT.

a = 5.764 Å, b = 5.764 Å, c = 5.720 Å
α = 90.00°, β = 90.00°, γ = 90.00°
Atoms (fractional coordinates):
1 Zr 0.000 0.000 0.000
2 Bi 0.500 0.500 0.500
3 Te 0.000 0.000 0.500
4 I 0.000 0.500 0.000
5 I 0.500 0.000 0.000

Computed properties:
- Crystal system: tetragonal
- Theoretical density: 6.0 g cm⁻³

---

Which is most stable? The ranking, best first, is arrangement b, arrangement a.

---

Arrangement a

Computed, not measured: ThBiI after structural relaxation at the PBE level of DFT.

a = 5.475 Å, b = 5.475 Å, c = 3.746 Å
α = 90.00°, β = 90.00°, γ = 120.00°
Atoms (fractional coordinates):
1 Th 0.000 0.000 0.000
2 Bi 0.667 0.333 0.500
3 I 0.333 0.667 0.000

Computed properties:
- Crystal system: hexagonal
- Theoretical density: 9.7 g cm⁻³

---

Arrangement b

Computed, not measured: ThBiI after structural relaxation at the PBE level of DFT.

a = 5.925 Å, b = 5.961 Å, c = 8.524 Å
α = 109.85°, β = 109.70°, γ = 91.56°
Atoms (fractional coordinates):
1 Th 0.169 0.169 0.338
2 Th 0.831 0.831 0.662
3 Bi 0.249 0.748 0.497
4 Bi 0.751 0.252 0.503
5 I 0.237 0.235 0.000
6 I 0.763 0.765 0.000

Computed properties:
- Crystal system: triclinic
- Theoretical density: 7.2 g cm⁻³

---

Which is most stable? The ranking, best first, is arrangement b, arrangement a.

---

Arrangement a

Computed, not measured: TlBiI4 after structural relaxation at the PBE level of DFT.

a = 7.790 Å, b = 7.790 Å, c = 8.779 Å
α = 100.77°, β = 100.77°, γ = 34.17°
Atoms (fractional coordinates):
1 Tl 0.000 0.000 0.000
2 Bi 0.500 0.500 0.500
3 I 0.123 0.123 0.401
4 I 0.374 0.374 0.177
5 I 0.626 0.626 0.823
6 I 0.877 0.877 0.599

Computed properties:
- Crystal system: monoclinic
- Theoretical density: 5.2 g cm⁻³

---

Arrangement b

Computed, not measured: TlBiI4 after structural relaxation at the PBE level of DFT.

a = 10.771 Å, b = 10.771 Å, c = 7.822 Å
α = 102.50°, β = 102.50°, γ = 128.47°
Atoms (fractional coordinates):
1 Tl 0.190 0.810 0.750
2 Tl 0.810 0.190 0.250
3 Bi 0.434 0.566 0.750
4 Bi 0.566 0.434 0.250
5 I 0.100 0.446 0.770
6 I 0.227 0.334 0.294
7 I 0.334 0.227 0.794
8 I 0.446 0.100 0.270
9 I 0.554 0.900 0.730
10 I 0.666 0.773 0.206
11 I 0.773 0.666 0.706
12 I 0.900 0.554 0.230

Computed properties:
- Crystal system: monoclinic
- Theoretical density: 5.0 g cm⁻³

---

Which is most stable? The ranking, best first, is arrangement b, arrangement a.

---

Arrangement a

Computed, not measured: TlBiI3 after structural relaxation at the PBE level of DFT.

a = 5.392 Å, b = 8.713 Å, c = 10.644 Å
α = 104.69°, β = 90.43°, γ = 96.50°
Atoms (fractional coordinates):
1 Tl 0.180 0.297 0.330
2 Tl 0.820 0.703 0.670
3 Bi 0.312 0.681 0.168
4 Bi 0.688 0.319 0.832
5 I 0.081 0.107 0.823
6 I 0.312 0.596 0.860
7 I 0.322 0.715 0.462
8 I 0.678 0.285 0.538
9 I 0.688 0.404 0.140
10 I 0.919 0.893 0.177

Computed properties:
- Crystal system: triclinic
- Theoretical density: 5.5 g cm⁻³

---

Arrangement b

Computed, not measured: TlBiI3 after structural relaxation at the PBE level of DFT.

a = 6.272 Å, b = 6.272 Å, c = 6.272 Å
α = 90.00°, β = 90.00°, γ = 90.00°
Atoms (fractional coordinates):
1 Tl 0.000 0.000 0.000
2 Bi 0.500 0.500 0.500
3 I 0.000 0.500 0.500
4 I 0.500 0.000 0.500
5 I 0.500 0.500 0.000

Computed properties:
- Crystal system: cubic
- Theoretical density: 5.3 g cm⁻³

---

Arrangement c

Computed, not measured: TlBiI3 after structural relaxation at the PBE level of DFT.

a = 6.702 Å, b = 6.705 Å, c = 11.760 Å
α = 86.60°, β = 86.36°, γ = 88.44°
Atoms (fractional coordinates):
1 Tl 0.248 0.251 0.499
2 Tl 0.752 0.749 0.501
3 Bi 0.083 0.583 0.881
4 Bi 0.917 0.417 0.119
5 I 0.146 0.179 0.812
6 I 0.238 0.738 0.579
7 I 0.322 0.350 0.185
8 I 0.678 0.650 0.815
9 I 0.762 0.262 0.421
10 I 0.854 0.821 0.188

Computed properties:
- Crystal system: triclinic
- Theoretical density: 5.0 g cm⁻³

---

Which is most stable? The ranking, best first, is arrangement c, arrangement a, arrangement b.

---

Arrangement a

Computed, not measured: TlBi2I after structural relaxation at the PBE level of DFT.

a = 13.874 Å, b = 13.874 Å, c = 13.874 Å
α = 160.20°, β = 160.20°, γ = 28.14°
Atoms (fractional coordinates):
1 Tl 0.000 0.000 0.000
2 Tl 0.750 0.250 0.500
3 Bi 0.077 0.625 0.952
4 Bi 0.375 0.327 0.452
5 Bi 0.673 0.125 0.048
6 Bi 0.875 0.923 0.548
7 I 0.250 0.750 0.500
8 I 0.500 0.500 0.000

Computed properties:
- Crystal system: tetragonal
- Theoretical density: 8.1 g cm⁻³

---

Arrangement b

Computed, not measured: TlBi2I after structural relaxation at the PBE level of DFT.

a = 5.642 Å, b = 5.642 Å, c = 5.642 Å
α = 60.00°, β = 60.00°, γ = 60.00°
Atoms (fractional coordinates):
1 Tl 0.000 0.000 0.000
2 Bi 0.250 0.250 0.250
3 Bi 0.750 0.750 0.750
4 I 0.500 0.500 0.500

Computed properties:
- Crystal system: cubic
- Theoretical density: 9.8 g cm⁻³

---

Which is most stable? The ranking, best first, is arrangement a, arrangement b.

---

Arrangement a

Computed, not measured: V2BiI after structural relaxation at the PBE level of DFT.

a = 4.841 Å, b = 4.841 Å, c = 4.841 Å
α = 60.00°, β = 60.00°, γ = 60.00°
Atoms (fractional coordinates):
1 V 0.250 0.250 0.250
2 V 0.750 0.750 0.750
3 Bi 0.000 0.000 0.000
4 I 0.500 0.500 0.500

Computed properties:
- Crystal system: cubic
- Theoretical density: 9.1 g cm⁻³

---

Arrangement b

Computed, not measured: V2BiI after structural relaxation at the PBE level of DFT.

a = 7.900 Å, b = 7.900 Å, c = 7.900 Å
α = 133.11°, β = 133.11°, γ = 68.48°
Atoms (fractional coordinates):
1 V 0.124 0.625 0.999
2 V 0.375 0.374 0.499
3 V 0.626 0.125 0.001
4 V 0.875 0.876 0.501
5 Bi 0.000 0.000 0.000
6 Bi 0.750 0.250 0.500
7 I 0.250 0.750 0.500
8 I 0.500 0.500 0.000

Computed properties:
- Crystal system: tetragonal
- Theoretical density: 5.6 g cm⁻³

---

Which is most stable? The ranking, best first, is arrangement a, arrangement b.

---

Arrangement a

Computed, not measured: Bi2W2I after structural relaxation at the PBE level of DFT.

a = 8.579 Å, b = 8.579 Å, c = 3.561 Å
α = 90.00°, β = 90.00°, γ = 90.00°
Atoms (fractional coordinates):
1 Bi 0.165 0.335 0.000
2 Bi 0.335 0.835 0.000
3 Bi 0.665 0.165 0.000
4 Bi 0.835 0.665 0.000
5 W 0.098 0.598 0.500
6 W 0.402 0.098 0.500
7 W 0.598 0.902 0.500
8 W 0.902 0.402 0.500
9 I 0.000 0.000 0.500
10 I 0.500 0.500 0.500

Computed properties:
- Crystal system: tetragonal
- Theoretical density: 11.6 g cm⁻³

---

Arrangement b

Computed, not measured: Bi2W2I after structural relaxation at the PBE level of DFT.

a = 5.990 Å, b = 5.990 Å, c = 5.990 Å
α = 125.69°, β = 125.69°, γ = 80.40°
Atoms (fractional coordinates):
1 Bi 0.250 0.750 0.500
2 Bi 0.750 0.250 0.500
3 W 0.126 0.126 0.000
4 W 0.874 0.874 0.000
5 I 0.500 0.500 0.000

Computed properties:
- Crystal system: tetragonal
- Theoretical density: 11.1 g cm⁻³

---

Which is most stable? The ranking, best first, is arrangement a, arrangement b.

---

Arrangement a

Computed, not measured: YBi2I after structural relaxation at the PBE level of DFT.

a = 12.854 Å, b = 12.854 Å, c = 12.854 Å
α = 159.03°, β = 159.03°, γ = 29.82°
Atoms (fractional coordinates):
1 Y 0.000 0.000 0.000
2 Y 0.750 0.250 0.500
3 Bi 0.084 0.625 0.959
4 Bi 0.375 0.334 0.459
5 Bi 0.666 0.125 0.041
6 Bi 0.875 0.916 0.541
7 I 0.250 0.750 0.500
8 I 0.500 0.500 0.000

Computed properties:
- Crystal system: tetragonal
- Theoretical density: 7.7 g cm⁻³

---

Arrangement b

Computed, not measured: YBi2I after structural relaxation at the PBE level of DFT.

a = 5.668 Å, b = 5.668 Å, c = 5.668 Å
α = 60.00°, β = 60.00°, γ = 60.00°
Atoms (fractional coordinates):
1 Y 0.000 0.000 0.000
2 Bi 0.250 0.250 0.250
3 Bi 0.750 0.750 0.750
4 I 0.500 0.500 0.500

Computed properties:
- Crystal system: cubic
- Theoretical density: 8.2 g cm⁻³

---

Which is most stable? The ranking, best first, is arrangement a, arrangement b.